[1]
TaCu2HRh | PBE | optimized geometry

Cell: 3.777 3.777 4.141 Å, 90.00 90.00 90.00°
Fractional coordinates of all 5 atoms:
Cu  0.000  0.500  0.000
Cu  0.500  0.000  0.000
Ta  0.000  0.000  0.500
Rh  0.500  0.500  0.500
H  0.000  0.000  0.000

Results
- crystal system = tetragonal
- calculated volume (Å³ per cell) = 59
- spin magnetization (μB/cell) = 0.00
- total energy (hartree per atom) = -0.2260
- space-group type = P4/mmm, No. 123


[2]
VZnCr | PBE | optimized geometry

Cell: 4.457 4.560 5.221 Å, 77.96 64.73 60.75°
Site moments in Bohr magnetons follow the coordinates.
Fractional coordinates of all 6 atoms:
Cr  0.250  0.500  0.500  -0.29
Cr  0.750  0.500  0.500  -0.29
V  0.644  0.000  0.712  0.67
V  0.356  0.000  0.288  0.67
Zn  0.165  0.670  0.000  -0.01
Zn  0.835  0.330  0.000  -0.01

Results
- crystal system = orthorhombic
- calculated volume (Å³ per cell) = 84
- excess energy over the best structure of this formula in the dataset (kJ/mol of formula units) = 88
- spin magnetization (μB/cell) = 0.88
- E_form (eV/f.u.) = 1.1
- space-group type = Fmmm, No. 69


[3]
ZnFeTc2 | PBE | optimized geometry

Cell: 2.735 2.735 7.309 Å, 90.00 90.00 90.00°
Site moments in Bohr magnetons follow the coordinates.
Fractional coordinates of all 4 atoms:
Fe  0.500  0.500  0.750  1.98
Zn  0.000  0.000  0.513  -0.03
Tc  0.500  0.500  0.246  0.18
Tc  0.000  0.000  0.992  -0.28

Results
- crystal system = tetragonal
- calculated volume (Å³ per cell) = 55
- spin magnetization (μB/cell) = 1.82
- E_form (eV/f.u.) = 0.4
- space-group type = P4mm, No. 99


[4]
Li2TaPt | PBE | optimized geometry

Cell: 9.612 9.612 9.612 Å, 16.64 16.64 16.64°
Fractional coordinates of all 4 atoms:
Ta  0.750  0.750  0.750
Pt  0.250  0.250  0.250
Li  0.509  0.509  0.509
Li  0.991  0.991  0.991

Results
- crystal system = trigonal
- calculated volume (Å³ per cell) = 64
- excess energy over the best structure of this formula in the dataset (kJ/mol of formula units) = 55
- spin magnetization (μB/cell) = 0.00
- E_form (eV/f.u.) = -0.5
- space-group type = R-3m, No. 166


[5]
La12Tb5Er2 | PBE | optimized geometry

Cell: 7.643 11.015 10.085 Å, 59.23 90.00 110.30°
Fractional coordinates of all 19 atoms:
La  0.000  0.001  0.206
La  0.911  0.320  0.525
La  0.067  0.670  0.835
La  0.486  0.971  0.684
La  0.604  0.670  0.835
La  0.591  0.680  0.475
La  0.089  0.680  0.475
La  0.933  0.330  0.165
La  0.396  0.330  0.165
La  0.000  0.999  0.794
La  0.409  0.320  0.525
La  0.514  0.029  0.316
Tb  0.677  0.354  0.837
Tb  0.000  0.000  0.500
Tb  0.173  0.346  0.820
Tb  0.323  0.646  0.163
Tb  0.827  0.654  0.180
Er  0.302  0.000  0.000
Er  0.698  0.000  0.000

Results
- crystal system = monoclinic
- calculated volume (Å³ per cell) = 667
- excess energy over the best structure of this formula in the dataset (kJ/mol of formula units) = 57
- spin magnetization (μB/cell) = 0.00
- E_form (eV/f.u.) = 2.9
- space-group type = C2/m, No. 12